No. 1
The following is a PBE calculation of a relaxed structure of Sr2MgGaIr2, from the Alexandria database. Values from VASP.

Structure (Quantum ESPRESSO input):
```
&SYSTEM
  ibrav = 0, nat = 12, ntyp = 4
/
ATOMIC_SPECIES
Sr 87.62 Sr.upf
Mg 24.30 Mg.upf
Ga 69.72 Ga.upf
Ir 192.22 Ir.upf
CELL_PARAMETERS angstrom
-3.082 7.365 3.109
3.082 -7.365 3.109
3.082 7.365 -3.109
ATOMIC_POSITIONS angstrom
Sr 1.543 2.537 0.000
Sr 1.543 -2.537 3.109
Sr 1.538 9.902 0.000
Sr 1.538 4.828 3.109
Mg 0.000 0.000 1.555
Mg 0.000 0.000 4.664
Ga 3.082 0.000 1.555
Ga 0.000 7.365 1.555
Ir 4.506 1.456 0.000
Ir 1.424 5.909 0.000
Ir 1.657 1.456 3.109
Ir -1.424 5.909 3.109
```

ΔH_f (0 K)	-0.39	eV/atom
total energy	-56.09	eV/cell



No. 2
The following is a PBE calculation of a relaxed structure of Li12Cd3Ag, from the Alexandria database. Values from VASP.

Structure (Quantum ESPRESSO input):
```
&SYSTEM
  ibrav = 0, nat = 16, ntyp = 3
/
ATOMIC_SPECIES
Li 6.94 Li.upf
Cd 112.41 Cd.upf
Ag 107.87 Ag.upf
CELL_PARAMETERS angstrom
4.182 0.000 0.000
0.000 4.182 0.000
0.000 0.000 16.518
ATOMIC_POSITIONS angstrom
Li 0.000 0.000 0.000
Li 0.000 0.000 4.058
Li 0.000 0.000 8.259
Li 0.000 0.000 12.460
Li 0.000 2.091 1.957
Li 0.000 2.091 6.167
Li 0.000 2.091 10.350
Li 0.000 2.091 14.560
Li 2.091 0.000 1.957
Li 2.091 0.000 6.167
Li 2.091 0.000 10.350
Li 2.091 0.000 14.560
Cd 2.091 2.091 4.067
Cd 2.091 2.091 8.259
Cd 2.091 2.091 12.450
Ag 2.091 2.091 0.000
```

ΔH_f (0 K)	-0.16	eV/atom
total energy	-31.05	eV/cell



No. 3
The following is a PBE calculation of a relaxed structure of Li2TmCdHg4, from the Alexandria database. Values from VASP.

Structure (Quantum ESPRESSO input):
```
&SYSTEM
  ibrav = 0, nat = 8, ntyp = 4
/
ATOMIC_SPECIES
Li 6.94 Li.upf
Tm 168.93 Tm.upf
Cd 112.41 Cd.upf
Hg 200.59 Hg.upf
CELL_PARAMETERS angstrom
2.394 1.382 8.768
-2.394 1.382 8.768
0.000 -2.765 8.768
ATOMIC_POSITIONS angstrom
Li 0.000 0.000 6.286
Li 0.000 0.000 20.019
Tm 0.000 0.000 0.000
Cd 0.000 0.000 13.152
Hg 0.000 0.000 3.122
Hg 0.000 0.000 10.066
Hg 0.000 0.000 16.239
Hg 0.000 0.000 23.182
```

ΔH_f (0 K)	-0.30	eV/atom
total energy	-12.84	eV/cell



No. 4
The following is a PBE calculation of a relaxed structure of Y2SbW, from the Alexandria database. Values from VASP.

Structure (Quantum ESPRESSO input):
```
&SYSTEM
  ibrav = 0, nat = 4, ntyp = 3
/
ATOMIC_SPECIES
Y 88.91 Y.upf
Sb 121.76 Sb.upf
W 183.84 W.upf
CELL_PARAMETERS angstrom
3.449 -3.461 0.000
3.449 3.461 0.000
0.000 0.000 3.955
ATOMIC_POSITIONS angstrom
Y 1.724 1.730 0.000
Y 1.724 -1.730 0.000
Sb 0.000 0.000 1.977
W 3.449 0.000 1.977
```

total energy	-30.02	eV/cell
energy relative to the elements, uncorrected	-0.02	eV/f.u.